# Mn2BeCr

A relaxed structure of Mn2BeCr (GGA-PBEsol, Alexandria).

The structure in extended XYZ format:
```
4
Lattice="2.3459 0.0000 0.0000 0.0000 3.7876 0.0000 -0.7483 0.0000 4.4750" Properties=species:S:1:pos:R:3 pbc="T T T"
Mn 0.3232 0.0000 1.0587
Mn 1.2743 0.0000 3.4163
Be 1.1729 1.8938 0.0000
Cr -0.3742 1.8938 2.2375
```

Summary:
- space-group type = P2/m, No. 10
- crystal system = monoclinic
- spin magnetization (μB per formula unit) = 0.000
- formation enthalpy at 0 K (meV per atom) = -4
- density (g/cm³) = 7.14
- electronic total energy (eV/atom) = -8.44

---

# Mn2BeCr

A relaxed structure of Mn2BeCr (GGA-PBEsol, Alexandria).

The structure in extended XYZ format:
```
4
Lattice="1.2245 0.7070 7.8003 -1.2245 0.7070 7.8003 0.0000 -1.4140 7.8003" Properties=species:S:1:pos:R:3 pbc="T T T"
Mn 0.0000 0.0000 5.8025
Mn 0.0000 0.0000 17.5984
Be 0.0000 0.0000 11.7005
Cr 0.0000 0.0000 0.0000
```

Summary:
- space-group type = R-3m, No. 166
- crystal system = trigonal
- spin magnetization (μB per formula unit) = 0.001
- formation enthalpy at 0 K (meV per atom) = 166
- density (g/cm³) = 7.00
- electronic total energy (eV/atom) = -8.27

---

# MnBeCr

A relaxed structure of MnBeCr (GGA-PBEsol, Alexandria).

The structure in extended XYZ format:
```
3
Lattice="3.8156 0.0000 0.0000 -1.9078 3.3044 0.0000 0.0000 0.0000 2.3354" Properties=species:S:1:pos:R:3 pbc="T T T"
Mn 0.0000 0.0000 0.0000
Be 0.0000 2.2029 0.8339
Cr 1.9078 1.1015 1.7256
```

Summary:
- space-group type = P3m1, No. 156
- ΔE to the lowest computed polymorph (meV per atom) = 0
- crystal system = trigonal
- spin magnetization (μB per formula unit) = 0.000
- formation enthalpy at 0 K (meV per atom) = -62
- density (g/cm³) = 6.54
- electronic total energy (eV/atom) = -8.06

---

# Mn2BeCr

A relaxed structure of Mn2BeCr (GGA-PBEsol, Alexandria).

The structure in extended XYZ format:
```
4
Lattice="-1.3759 1.8866 3.8216 1.3759 -1.8866 3.8216 1.3759 1.8866 -3.8216" Properties=species:S:1:pos:R:3 pbc="T T T"
Mn 0.0000 0.0000 0.0000
Mn 0.0000 1.8866 1.9445
Be 1.3759 0.0000 1.9255
Cr 0.0000 0.0000 3.9069
```

Summary:
- space-group type = Imm2, No. 44
- crystal system = orthorhombic
- spin magnetization (μB per formula unit) = 0.690
- formation enthalpy at 0 K (meV per atom) = -38
- density (g/cm³) = 7.15
- electronic total energy (eV/atom) = -8.48

---

# BeCrMo2

A relaxed structure of BeCrMo2 (GGA-PBEsol, Alexandria).

The structure in extended XYZ format:
```
4
Lattice="1.3369 0.7719 8.5224 -1.3369 0.7719 8.5224 0.0000 -1.5437 8.5224" Properties=species:S:1:pos:R:3 pbc="T T T"
Be 0.0000 0.0000 0.0000
Cr 0.0000 0.0000 12.7836
Mo 0.0000 0.0000 6.4569
Mo 0.0000 0.0000 19.1102
```

Summary:
- space-group type = R-3m, No. 166
- crystal system = trigonal
- spin magnetization (μB per formula unit) = 0.971
- formation enthalpy at 0 K (meV per atom) = 445
- density (g/cm³) = 7.96
- electronic total energy (eV/atom) = -9.00

---

# BeCrMo2

A relaxed structure of BeCrMo2 (GGA-PBEsol, Alexandria).

The structure in extended XYZ format:
```
4
Lattice="1.5656 -2.0861 0.0000 1.5656 2.0861 0.0000 0.0000 0.0000 7.7845" Properties=species:S:1:pos:R:3 pbc="T T T"
Be 0.0000 0.0000 0.0000
Cr 1.5656 0.0000 6.1466
Mo 0.0000 0.0000 4.1037
Mo 1.5656 0.0000 1.8421
```

Summary:
- space-group type = Cmm2, No. 35
- crystal system = orthorhombic
- spin magnetization (μB per formula unit) = 0.001
- formation enthalpy at 0 K (meV per atom) = 157
- density (g/cm³) = 8.26
- electronic total energy (eV/atom) = -9.29

---

# Be2CrMo

A relaxed structure of Be2CrMo (GGA-PBEsol, Alexandria).

The structure in extended XYZ format:
```
4
Lattice="3.4519 0.0000 0.0000 0.0000 3.4519 0.0000 0.0000 0.0000 3.6619" Properties=species:S:1:pos:R:3 pbc="T T T"
Be 0.0000 1.7260 0.0000
Be 1.7260 0.0000 0.0000
Cr 0.0000 0.0000 1.8309
Mo 1.7260 1.7260 1.8309
```

Summary:
- space-group type = P4/mmm, No. 123
- ΔE to the lowest computed polymorph (meV per atom) = 0
- crystal system = tetragonal
- spin magnetization (μB per formula unit) = 0.001
- formation enthalpy at 0 K (meV per atom) = 87
- density (g/cm³) = 6.32
- electronic total energy (eV/atom) = -7.42

---

# Be4CrMo

A relaxed structure of Be4CrMo (GGA-PBEsol, Alexandria).

The structure in extended XYZ format:
```
6
Lattice="0.0000 3.0416 3.0416 3.0416 0.0000 3.0416 3.0416 3.0416 0.0000" Properties=species:S:1:pos:R:3 pbc="T T T"
Be 0.7619 0.7619 0.7619
Be 2.2797 2.2797 0.7619
Be 2.2797 0.7619 2.2797
Be 0.7619 2.2797 2.2797
Cr 3.0416 3.0416 3.0416
Mo 4.5623 4.5623 4.5623
```

Summary:
- space-group type = F-43m, No. 216
- ΔE to the lowest computed polymorph (meV per atom) = 0
- crystal system = cubic
- spin magnetization (μB per formula unit) = 0.000
- formation enthalpy at 0 K (meV per atom) = -240
- density (g/cm³) = 5.43
- electronic total energy (eV/atom) = -6.57